The following is a PBE calculation of a relaxed structure of VB3P, from Alexandria.

Geometry as POSCAR:
```
VB3P
1.0
3.9815 0.0000 0.0000
0.0000 3.9815 0.0000
0.0000 0.0000 3.9815
V B P
1 3 1
direct
0.0000 0.0000 0.0000
0.0000 0.0000 0.5000
0.0000 0.5000 0.0000
0.5000 0.0000 0.0000
0.5000 0.5000 0.5000
```

Calculated values
- Mass density: 3008 kg/m3
- Volume: 12.6 A^3/atom
- Relative energy among the computed polymorphs: 0.2640 eV per atom
- Raw total energy: -5.23 eV/atom
- Space-group type: Pm-3m (221)
- Formation energy: 1.682 eV/atom